The following is a SCAN calculation of a PBEsol-optimized structure of Mg4CrSi, from Alexandria via LeMat-Bulk.

Geometry as POSCAR:
```
Mg4CrSi
1.0
-3.689 -4.136 -0.411
0.377 -3.655 -4.169
1.567 -5.232 1.025
Cr Mg Si
1 4 1
direct
0.000 0.000 0.000 Cr
0.375 0.375 0.876 Mg
0.375 0.375 0.375 Mg
0.375 0.876 0.375 Mg
0.876 0.375 0.375 Mg
0.750 0.750 0.750 Si
```

Values from the calculation:
As for the uncorrected formation energy: 2.50 eV/f.u.



The following is a SCAN calculation of a PBEsol-optimized structure of MgCr2Si, from Alexandria via LeMat-Bulk.

Geometry as POSCAR:
```
MgCr2Si
1.0
2.947 0.000 0.000
0.000 2.947 0.000
0.000 0.000 6.074
Mg Cr Si
1 2 1
direct
0.000 0.000 0.493 Mg
0.500 0.500 0.205 Cr
0.000 0.000 0.008 Cr
0.500 0.500 0.793 Si
```

Values from the calculation:
As for the uncorrected formation energy: 0.49 eV/f.u.



The following is a SCAN calculation of a PBEsol-optimized structure of MgCrSi3, from Alexandria via LeMat-Bulk.

Geometry as POSCAR:
```
MgCrSi3
1.0
4.473 0.000 0.000
0.000 4.473 0.000
0.000 0.000 4.473
Mg Cr Si
1 1 3
direct
0.500 0.500 0.500 Mg
0.000 0.000 0.000 Cr
0.500 0.000 0.000 Si
0.000 0.000 0.500 Si
0.000 0.500 0.000 Si
```

Values from the calculation:
As for the uncorrected formation energy: 2.24 eV/f.u.



The following is a SCAN calculation of a PBEsol-optimized structure of MgTaCrSn2, from Alexandria via LeMat-Bulk.

Geometry as POSCAR:
```
MgTaCrSn2
1.0
4.567 0.000 0.000
0.000 4.979 0.000
0.000 0.000 4.979
Cr Mg Sn Ta
1 1 2 1
direct
0.000 0.000 0.000 Cr
0.500 0.500 0.500 Mg
0.000 0.000 0.500 Sn
0.000 0.500 0.000 Sn
0.500 0.000 0.000 Ta
```

Values from the calculation:
The calculated formation energy is 65 kJ/mol of atoms.



The following is a SCAN calculation of a PBEsol-optimized structure of SrMgCr2, from Alexandria via LeMat-Bulk.

Geometry as POSCAR:
```
SrMgCr2
1.0
-2.106 -1.778 -1.084
2.113 0.140 -4.335
4.686 -3.788 2.162
Cr Sr Mg
2 1 1
direct
0.855 0.000 0.123 Cr
0.145 0.000 0.877 Cr
0.500 0.500 0.500 Sr
0.500 0.500 0.000 Mg
```

Values from the calculation:
The calculated formation energy is 89 kJ/mol of atoms.



The following is a SCAN calculation of a PBEsol-optimized structure of MgTa2Cr, from Alexandria via LeMat-Bulk.

Geometry as POSCAR:
```
MgTa2Cr
1.0
-1.048 3.208 -0.428
-3.936 -1.080 1.537
1.335 0.985 4.111
Ta Mg Cr
2 1 1
direct
0.500 0.500 0.000 Ta
0.000 0.000 0.000 Ta
0.000 0.500 0.500 Mg
0.500 0.000 0.500 Cr
```

Values from the calculation:
The calculated formation energy is 32 kJ/mol of atoms.